1.
Computed, not measured: an optimized crystal structure of ReSb2As at the PBE-GGA level of DFT.

```
data_ReSb2As
_cell_length_a 4.838
_cell_length_b 4.838
_cell_length_c 4.838
_cell_angle_alpha 60.00
_cell_angle_beta 60.00
_cell_angle_gamma 60.00
_space_group_name_H-M_alt 'P 1'
_space_group_IT_number 1
loop_
_space_group_symop_operation_xyz
'x,y,z'
loop_
_atom_site_label
_atom_site_type_symbol
_atom_site_fract_x
_atom_site_fract_y
_atom_site_fract_z
Re1 Re 0.750 0.750 0.750
As1 As 0.500 0.500 0.500
Sb1 Sb 0.000 0.000 0.000
Sb2 Sb 0.250 0.250 0.250
```

Calculated values
As for the energy relative to the elements, uncorrected: 0.748 eV/atom. Its crystal system is cubic. As for the space group: F-43m (216).


2.
Computed, not measured: an optimized crystal structure of Dy4CdAg2Hg at the PBE-GGA level of DFT.

```
data_Dy4CdAg2Hg
_cell_length_a 5.209
_cell_length_b 5.209
_cell_length_c 9.021
_cell_angle_alpha 73.22
_cell_angle_beta 73.22
_cell_angle_gamma 60.00
_space_group_name_H-M_alt 'P 1'
_space_group_IT_number 1
loop_
_space_group_symop_operation_xyz
'x,y,z'
loop_
_atom_site_label
_atom_site_type_symbol
_atom_site_fract_x
_atom_site_fract_y
_atom_site_fract_z
Dy1 Dy 0.376 0.376 0.871
Dy2 Dy 0.874 0.874 0.379
Dy3 Dy 0.126 0.126 0.621
Dy4 Dy 0.624 0.624 0.129
Cd1 Cd 0.000 0.000 0.000
Ag1 Ag 0.747 0.747 0.760
Ag2 Ag 0.253 0.253 0.240
Hg1 Hg 0.500 0.500 0.500
```

Calculated values
Its crystal system is trigonal. As for the space group: R-3m (166).


3.
Computed, not measured: an optimized crystal structure of Fe2HgAu at the PBE-GGA level of DFT.

```
data_Fe2HgAu
_cell_length_a 4.053
_cell_length_b 4.053
_cell_length_c 3.881
_cell_angle_alpha 90.00
_cell_angle_beta 90.00
_cell_angle_gamma 90.00
_space_group_name_H-M_alt 'P 1'
_space_group_IT_number 1
loop_
_space_group_symop_operation_xyz
'x,y,z'
loop_
_atom_site_label
_atom_site_type_symbol
_atom_site_fract_x
_atom_site_fract_y
_atom_site_fract_z
Au1 Au 0.000 0.500 0.500
Fe1 Fe 0.000 0.000 0.000
Fe2 Fe 0.500 0.500 0.000
Hg1 Hg 0.500 0.000 0.500
```

Calculated values
Its crystal system is tetragonal. As for the space group: P4/mmm (123).


4.
Computed, not measured: an optimized crystal structure of PaInGaO6 at the PBE-GGA level of DFT.

```
data_PaInGaO6
_cell_length_a 4.921
_cell_length_b 4.921
_cell_length_c 9.838
_cell_angle_alpha 90.00
_cell_angle_beta 90.00
_cell_angle_gamma 90.00
_space_group_name_H-M_alt 'P 1'
_space_group_IT_number 1
loop_
_space_group_symop_operation_xyz
'x,y,z'
loop_
_atom_site_label
_atom_site_type_symbol
_atom_site_fract_x
_atom_site_fract_y
_atom_site_fract_z
Pa1 Pa 0.500 0.500 0.499
Pa2 Pa 0.000 0.000 0.999
In1 In 0.500 0.500 0.167
In2 In 0.000 0.000 0.667
Ga1 Ga 0.500 0.500 0.832
Ga2 Ga 0.000 0.000 0.332
O1 O 0.189 0.811 0.489
O2 O 0.811 0.189 0.489
O3 O 0.311 0.311 0.989
O4 O 0.689 0.689 0.989
O5 O 0.189 0.811 0.176
O6 O 0.811 0.189 0.176
O7 O 0.311 0.311 0.676
O8 O 0.689 0.689 0.676
O9 O 0.789 0.211 0.836
O10 O 0.211 0.789 0.836
O11 O 0.711 0.711 0.336
O12 O 0.289 0.289 0.336
```

Calculated values
As for the energy relative to the elements, uncorrected: -2.160 eV/atom. Its crystal system is tetragonal. As for the space group: P4_2nm (102).


5.
Computed, not measured: an optimized crystal structure of HfCoSi2 at the PBE-GGA level of DFT.

```
data_HfCoSi2
_cell_length_a 4.349
_cell_length_b 4.349
_cell_length_c 4.349
_cell_angle_alpha 60.00
_cell_angle_beta 60.00
_cell_angle_gamma 60.00
_space_group_name_H-M_alt 'P 1'
_space_group_IT_number 1
loop_
_space_group_symop_operation_xyz
'x,y,z'
loop_
_atom_site_label
_atom_site_type_symbol
_atom_site_fract_x
_atom_site_fract_y
_atom_site_fract_z
Co1 Co 0.000 0.000 0.000
Si1 Si 0.250 0.250 0.250
Si2 Si 0.750 0.750 0.750
Hf1 Hf 0.500 0.500 0.500
```

Calculated values
As for the energy relative to the elements, uncorrected: -0.077 eV/atom. Its crystal system is cubic. As for the space group: Fm-3m (225).


6.
Computed, not measured: an optimized crystal structure of NdMg2Al3Au6 at the PBE-GGA level of DFT.

```
data_NdMg2Al3Au6
_cell_length_a 4.255
_cell_length_b 4.255
_cell_length_c 14.218
_cell_angle_alpha 90.00
_cell_angle_beta 90.00
_cell_angle_gamma 90.00
_space_group_name_H-M_alt 'P 1'
_space_group_IT_number 1
loop_
_space_group_symop_operation_xyz
'x,y,z'
loop_
_atom_site_label
_atom_site_type_symbol
_atom_site_fract_x
_atom_site_fract_y
_atom_site_fract_z
Nd1 Nd 0.500 0.500 0.500
Mg1 Mg 0.500 0.500 0.162
Mg2 Mg 0.500 0.500 0.838
Al1 Al 0.000 0.000 0.410
Al2 Al 0.000 0.000 0.590
Al3 Al 0.000 0.000 0.000
Au1 Au 0.000 0.500 0.689
Au2 Au 0.500 0.000 0.311
Au3 Au 0.500 0.000 0.689
Au4 Au 0.000 0.000 0.168
Au5 Au 0.000 0.500 0.311
Au6 Au 0.000 0.000 0.832
```

Calculated values
Its crystal system is tetragonal. As for the space group: P4/mmm (123).


7.
Computed, not measured: an optimized crystal structure of CaSc2BiC at the PBE-GGA level of DFT.

```
data_CaSc2BiC
_cell_length_a 5.578
_cell_length_b 4.801
_cell_length_c 5.578
_cell_angle_alpha 90.00
_cell_angle_beta 90.00
_cell_angle_gamma 90.00
_space_group_name_H-M_alt 'P 1'
_space_group_IT_number 1
loop_
_space_group_symop_operation_xyz
'x,y,z'
loop_
_atom_site_label
_atom_site_type_symbol
_atom_site_fract_x
_atom_site_fract_y
_atom_site_fract_z
Sc1 Sc 0.000 0.000 0.500
Sc2 Sc 0.500 0.000 0.000
C1 C 0.000 0.500 0.000
Ca1 Ca 0.500 0.500 0.500
Bi1 Bi 0.000 0.000 0.000
```

Calculated values
Its crystal system is tetragonal. As for the space group: P4/mmm (123).


8.
Computed, not measured: an optimized crystal structure of Nd8YSc3 at the PBE-GGA level of DFT.

```
data_Nd8YSc3
_cell_length_a 8.608
_cell_length_b 8.608
_cell_length_c 8.608
_cell_angle_alpha 95.94
_cell_angle_beta 133.59
_cell_angle_gamma 101.95
_space_group_name_H-M_alt 'P 1'
_space_group_IT_number 1
loop_
_space_group_symop_operation_xyz
'x,y,z'
loop_
_atom_site_label
_atom_site_type_symbol
_atom_site_fract_x
_atom_site_fract_y
_atom_site_fract_z
Nd1 Nd 0.511 0.289 0.223
Nd2 Nd 0.489 0.711 0.777
Nd3 Nd 0.934 0.711 0.223
Nd4 Nd 0.066 0.289 0.777
Nd5 Nd 0.165 0.418 0.252
Nd6 Nd 0.835 0.087 0.253
Nd7 Nd 0.834 0.582 0.747
Nd8 Nd 0.166 0.913 0.748
Y1 Y 0.000 0.000 0.000
Sc1 Sc 0.500 0.714 0.214
Sc2 Sc 0.500 0.286 0.786
Sc3 Sc 0.000 0.500 0.500
```

Calculated values
Its crystal system is orthorhombic. As for the space group: Immm (71).


9.
Computed, not measured: an optimized crystal structure of SrSeIN2 at the PBE-GGA level of DFT.

```
data_SrSeIN2
_cell_length_a 4.257
_cell_length_b 4.257
_cell_length_c 5.620
_cell_angle_alpha 90.00
_cell_angle_beta 90.00
_cell_angle_gamma 90.00
_space_group_name_H-M_alt 'P 1'
_space_group_IT_number 1
loop_
_space_group_symop_operation_xyz
'x,y,z'
loop_
_atom_site_label
_atom_site_type_symbol
_atom_site_fract_x
_atom_site_fract_y
_atom_site_fract_z
I1 I 0.000 0.000 0.000
Sr1 Sr 0.500 0.500 0.500
Se1 Se 0.000 0.000 0.500
N1 N 0.000 0.500 0.000
N2 N 0.500 0.000 0.000
```

Calculated values
As for the energy relative to the elements, uncorrected: 0.819 eV/atom. Its crystal system is tetragonal. As for the space group: P4/mmm (123).


10.
Computed, not measured: an optimized crystal structure of Ag2I2Br3 at the PBE-GGA level of DFT.

```
data_Ag2I2Br3
_cell_length_a 3.891
_cell_length_b 12.887
_cell_length_c 7.128
_cell_angle_alpha 107.12
_cell_angle_beta 74.16
_cell_angle_gamma 90.01
_space_group_name_H-M_alt 'P 1'
_space_group_IT_number 1
loop_
_space_group_symop_operation_xyz
'x,y,z'
loop_
_atom_site_label
_atom_site_type_symbol
_atom_site_fract_x
_atom_site_fract_y
_atom_site_fract_z
Ag1 Ag 0.120 0.054 0.761
Ag2 Ag 0.880 0.946 0.239
I1 I 0.439 0.606 0.123
I2 I 0.561 0.394 0.877
Br1 Br 0.500 0.000 0.000
Br2 Br 0.298 0.852 0.404
Br3 Br 0.702 0.148 0.596
```

Calculated values
As for the energy relative to the elements, uncorrected: -0.176 eV/atom. Its crystal system is monoclinic. As for the space group: C2/m (12).


11.
Computed, not measured: an optimized crystal structure of Ac6CuRu2Br3 at the PBE-GGA level of DFT.

```
data_Ac6CuRu2Br3
_cell_length_a 7.527
_cell_length_b 7.527
_cell_length_c 8.688
_cell_angle_alpha 98.27
_cell_angle_beta 98.27
_cell_angle_gamma 120.00
_space_group_name_H-M_alt 'P 1'
_space_group_IT_number 1
loop_
_space_group_symop_operation_xyz
'x,y,z'
loop_
_atom_site_label
_atom_site_type_symbol
_atom_site_fract_x
_atom_site_fract_y
_atom_site_fract_z
Ac1 Ac 0.935 0.586 0.804
Ac2 Ac 0.716 0.716 0.196
Ac3 Ac 0.065 0.414 0.196
Ac4 Ac 0.586 0.935 0.804
Ac5 Ac 0.284 0.284 0.804
Ac6 Ac 0.414 0.065 0.196
Cu1 Cu 0.000 0.000 0.000
Ru1 Ru 0.334 0.666 0.000
Ru2 Ru 0.666 0.334 0.000
Br1 Br 0.169 0.831 0.500
Br2 Br 0.831 0.169 0.500
Br3 Br 0.500 0.500 0.500
```

Calculated values
As for the energy relative to the elements, uncorrected: -0.852 eV/atom. Its crystal system is monoclinic. As for the space group: C2/m (12).


12.
Computed, not measured: an optimized crystal structure of NaSrPu2S4 at the PBE-GGA level of DFT.

```
data_NaSrPu2S4
_cell_length_a 4.082
_cell_length_b 7.178
_cell_length_c 7.033
_cell_angle_alpha 70.94
_cell_angle_beta 90.00
_cell_angle_gamma 90.00
_space_group_name_H-M_alt 'P 1'
_space_group_IT_number 1
loop_
_space_group_symop_operation_xyz
'x,y,z'
loop_
_atom_site_label
_atom_site_type_symbol
_atom_site_fract_x
_atom_site_fract_y
_atom_site_fract_z
Na1 Na 0.000 0.500 0.500
Sr1 Sr 0.500 0.500 0.000
Pu1 Pu 0.000 0.000 0.000
Pu2 Pu 0.500 0.000 0.500
S1 S 0.000 0.770 0.742
S2 S 0.000 0.230 0.258
S3 S 0.500 0.773 0.242
S4 S 0.500 0.227 0.758
```

Calculated values
As for the energy relative to the elements, uncorrected: -1.737 eV/atom. Its crystal system is monoclinic. As for the space group: P2/m (10).


Sequential N(E_F) output: 4.3 5.9 3.3 17.2 4.5 4.8 3.3 18.3 2.2 3.6 3.3 16.2 states/eV/cell
Sequential calculated total energy output: -0.4107 -0.2589 -0.3529 -0.5264 -0.5184 -0.2679 -0.3187 -0.3602 -0.2833 -0.1580 -0.3831 -0.5703 Ry/atom